(1)
This record from Alexandria via LeMat-Bulk describes crystalline CrTeMo2 at its relaxed geometry. The functional is PBE-GGA.

Output
Magnetization (μB/cell): 0.00
D(E_F) (states/eV/cell): 12.20
Formation energy from raw total energies (eV per atom): 0.548

abc: 3.1214 3.1214 24.0661
angles: 90.00 90.00 120.00
Space group R-3m (No. 166, hexagonal axes)
Inequivalent atoms, fractional coordinates:
Cr1 0.0000 0.0000 0.0000 [3 per cell]
Te1 0.0000 0.0000 0.5000 [3 per cell]
Mo1 0.0000 0.0000 0.2597 [6 per cell]

(2)
This record from Alexandria via LeMat-Bulk describes crystalline CrTeMo2 at its relaxed geometry. The functional is PBE-GGA.

Output
Magnetization (μB/cell): 2.07
D(E_F) (states/eV/cell): 1.74
Formation energy from raw total energies (eV per atom): 0.334

abc: 3.303 3.303 6.176
angles: 90.00 90.00 90.00
Space group P4mm (No. 99)
Inequivalent atoms, fractional coordinates:
Cr1 0.000 0.000 0.000 [1 per cell]
Te1 0.500 0.500 0.715 [1 per cell]
Mo1 0.000 0.000 0.464 [1 per cell]
Mo2 0.500 0.500 0.193 [1 per cell]

(3)
This record from Alexandria via LeMat-Bulk describes crystalline CrTeMo2 at its relaxed geometry. The functional is PBE-GGA.

Output
Magnetization (μB/cell): 0.01
D(E_F) (states/eV/cell): 6.16
Formation energy from raw total energies (eV per atom): 0.372

abc: 3.334 4.243 8.988
angles: 90.00 90.00 90.00
Space group Immm (No. 71)
Inequivalent atoms, fractional coordinates:
Cr1 0.000 0.000 0.000 [2 per cell]
Te1 0.000 0.000 0.500 [2 per cell]
Mo1 0.000 0.500 0.253 [4 per cell]

(4)
This record from Alexandria via LeMat-Bulk describes crystalline Cr2TeMo at its relaxed geometry. The functional is PBE-GGA.

Output
Magnetization (μB/cell): 0.61
D(E_F) (states/eV/cell): 6.64
Formation energy from raw total energies (eV per atom): 0.379

abc: 3.498 4.101 8.608
angles: 90.00 90.00 90.00
Space group Imm2 (No. 44)
Inequivalent atoms, fractional coordinates:
Cr1 0.000 0.000 0.000 [2 per cell]
Cr2 0.000 0.500 0.263 [2 per cell]
Te1 0.000 0.500 0.751 [2 per cell]
Mo1 0.000 0.000 0.509 [2 per cell]

(5)
This record from Alexandria via LeMat-Bulk describes crystalline CrTe2Mo at its relaxed geometry. The functional is PBE-GGA.

Output
Distance to the lowest polymorph of the same formula (eV per atom): 0.374
Magnetization (μB/cell): 7.30
D(E_F) (states/eV/cell): 4.57
Formation energy from raw total energies (eV per atom): 0.364

abc: 8.313 3.511 5.920
angles: 90.00 100.98 90.00
Space group C2/m (No. 12)
Inequivalent atoms, fractional coordinates:
Cr1 0.000 0.000 0.000 [2 per cell]
Te1 0.233 0.000 0.733 [4 per cell]
Mo1 0.000 0.500 0.500 [2 per cell]

(6)
This record from Alexandria via LeMat-Bulk describes crystalline Cr3TeMo at its relaxed geometry. The functional is PBE-GGA.

Output
Distance to the lowest polymorph of the same formula (eV per atom): 0.000
Magnetization (μB/cell): 9.38
D(E_F) (states/eV/cell): 3.25
Formation energy from raw total energies (eV per atom): 1.232

abc: 4.761 4.761 4.761
angles: 90.00 90.00 90.00
Space group Pm-3m (No. 221)
Inequivalent atoms, fractional coordinates:
Cr1 0.000 0.000 0.500 [3 per cell]
Te1 0.500 0.500 0.500 [1 per cell]
Mo1 0.000 0.000 0.000 [1 per cell]

Q: Look up the D(E_F) of the sixth one.
A: 3.25 states/eV/cell

Q: D(E_F) of number 1 (CrTeMo2)?
A: 12.20 states/eV/cell

Q: Among the records above, which one has the highest magnetization?
A: Cr3TeMo

Q: The highest formation energy from raw total energies belongs to which entry?
A: Cr3TeMo